Entry 1:
BaZnAs2Br: optimized geometry, PBE-GGA.

Computed properties:
Density of states at the Fermi level = 4.24 states/eV/cell
Calculated volume = 28.86 Å³/atom
Relative energy among the computed polymorphs = 0.0000 eV/atom
VASP energy = -3.35 eV/atom

Cell lengths 4.8210, 4.8210, 6.2083 Å; angles 90.00, 90.00, 90.00 degrees
Closest atoms and distances in Å follow each position.
Space group P4/mmm (No. 123)
Symmetry-distinct sites (fractional):
Ba 0.0000 0.0000 0.0000 x1  4 Br 3.41
Zn 0.5000 0.5000 0.5000 x1  4 As 2.41
As 0.0000 0.5000 0.5000 x2  2 Zn 2.41
Br 0.5000 0.5000 0.0000 x1  2 Zn 3.10, 4 Ba 3.41

Entry 2:
La5PrHo2Er: optimized geometry, PBE-GGA.

Computed properties:
Formation enthalpy at 0 K = 127 meV/atom
Density of states at the Fermi level = 53.59 states/eV/cell
Calculated volume = 35.64 Å³/atom
VASP energy = -4.67 eV/atom

Cell lengths 5.5210, 21.6851, 10.7168 Å; angles 90.00, 90.00, 90.00 degrees
Closest atoms and distances in Å follow each position.
Space group Cmc2_1 (No. 36)
Symmetry-distinct sites (fractional):
La 0.0000 0.9999 0.0000 x4  2 Er 3.45, 4 Ho 3.68, 6 La 3.77-3.85
La 0.0000 0.1226 0.2501 x4  1 Pr 3.56, 6 La 3.77-3.94, 4 Ho 3.85-3.86
La 0.0000 0.2203 0.9413 x4  2 La 3.30, 1 Er 3.31, 3 Pr 3.44-3.61, 3 Ho 3.68
La 0.0000 0.2207 0.5599 x4  2 La 3.30, 1 Er 3.31, 3 Pr 3.44-3.61, 3 Ho 3.68
La 0.0000 0.4986 0.2500 x4  2 Er 3.49, 4 Ho 3.60-3.64, 6 La 3.85
Pr 0.0000 0.2866 0.2505 x4  7 La 3.44-3.61, 2 Ho 3.46, 2 Er 3.70
Ho 0.0000 0.3876 0.0003 x4  1 Pr 3.46, 9 La 3.60-3.85, 2 Er 3.85
Ho 0.0000 0.3879 0.4998 x4  1 Pr 3.46, 9 La 3.60-3.86, 2 Er 3.85
Er 0.0000 0.1001 0.7501 x4  6 La 3.31-3.49, 2 Pr 3.70

Entry 3:
La2NiSe: optimized geometry, PBE-GGA.

Computed properties:
Density of states at the Fermi level = 9.10 states/eV/cell
Calculated volume = 24.11 Å³/atom
VASP energy = -5.67 eV/atom

Cell lengths 7.2839, 7.2770, 3.6385 Å; angles 90.00, 90.25, 90.00 degrees
Closest atoms and distances in Å follow each position.
Space group C2/m (No. 12)
Symmetry-distinct sites (fractional):
La 0.2500 0.2500 0.0000 x4  4 Ni 3.15-3.16, 4 Se 3.15-3.16
Ni 0.0000 0.0000 0.5000 x2  8 La 3.15-3.16
Se 0.0000 0.5000 0.5000 x2  8 La 3.15-3.16

Entry 4:
Al3Pd3Au: optimized geometry, PBE-GGA.

Computed properties:
Formation enthalpy at 0 K = -571 meV/atom
Density of states at the Fermi level = 7.05 states/eV/cell
Calculated volume = 16.03 Å³/atom
VASP energy = -4.87 eV/atom

Cell lengths 7.0982, 8.7307, 7.2647 Å; angles 90.00, 94.57, 90.00 degrees
Closest atoms and distances in Å follow each position.
Space group C2/m (No. 12)
Symmetry-distinct sites (fractional):
Al 0.0395 0.0000 0.2911 x4  5 Pd 2.55-2.62, 2 Au 2.59-2.77
Al 0.2374 0.2826 0.2142 x8  4 Pd 2.43-2.69, 1 Au 2.56
Pd 0.0000 0.1636 0.0000 x4  6 Al 2.43-2.57
Pd 0.0000 0.2310 0.5000 x4  6 Al 2.55-2.81, 2 Au 2.77
Pd 0.1396 0.5000 0.8639 x4  3 Al 2.62-2.69, 1 Pd 2.91
Au 0.1946 0.5000 0.4433 x4  4 Al 2.56-2.77, 2 Pd 2.77